Zr4CuAg | Alexandria | GGA-PBE | optimized geometry; formation energy from the elements = 3.0 eV per formula unit; final energy = -6.359 eV per atom
1.0
0.0000 4.0160 4.0160
4.0160 0.0000 4.0160
4.0160 4.0160 0.0000
Zr Cu Ag
4 1 1
Cartesian
3.0103 3.0103 3.0103 Zr
5.0217 5.0217 3.0103 Zr
5.0217 3.0103 5.0217 Zr
3.0103 5.0217 5.0217 Zr
0.0000 0.0000 0.0000 Cu
6.0240 6.0240 6.0240 Ag


Zr2CuAg | Alexandria | GGA-PBE | optimized geometry; formation energy from the elements = 0.0 eV per formula unit; final energy = -6.017 eV per atom
1.0
4.2973 0.0000 0.0000
0.0000 4.2971 0.0000
0.0000 0.0000 4.0844
Ag Cu Zr
1 1 2
Cartesian
2.1486 0.0000 2.0422 Ag
0.0000 2.1485 2.0422 Cu
2.1486 2.1485 0.0000 Zr
0.0000 0.0000 0.0000 Zr


ZrCuAg2 | Alexandria | GGA-PBE | optimized geometry; formation energy from the elements = 0.3 eV per formula unit; final energy = -4.504 eV per atom
1.0
-1.8946 -4.0986 2.2371
-1.7750 -4.6711 -0.6507
4.2485 -2.7231 0.7158
Ag Zr Cu
2 1 1
Cartesian
0.4001 -8.6840 1.7380 Ag
4.1812 -2.7273 0.7138 Ag
0.2290 -2.8509 0.5746 Zr
0.3065 -5.7002 1.1427 Cu


ZrCuAg3 | Alexandria | GGA-PBE | optimized geometry; formation energy from the elements = 7.3 eV per formula unit; final energy = -2.774 eV per atom
1.0
5.2915 0.0000 0.0000
0.0000 5.2915 0.0000
0.0000 0.0000 5.2915
Ag Zr Cu
3 1 1
Cartesian
2.6458 0.0000 0.0000 Ag
0.0000 2.6458 0.0000 Ag
0.0000 0.0000 2.6458 Ag
0.0000 0.0000 0.0000 Zr
2.6458 2.6458 2.6458 Cu


ZrCuAg2 | Alexandria | GGA-PBE | optimized geometry; formation energy from the elements = 1.5 eV per formula unit; final energy = -4.223 eV per atom
1.0
-4.5660 -4.2131 -4.2518
0.1063 -5.4039 5.2405
-4.3841 -3.6860 1.6955
Ag Zr Cu
4 2 2
Cartesian
-4.9563 -6.5837 1.8488 Ag
-7.1945 -10.9665 1.9303 Ag
-1.7802 -4.9915 3.0002 Ag
-3.7567 -4.0642 -1.4110 Ag
-5.5900 -6.3538 -1.0310 Zr
0.0000 0.0000 0.0000 Zr
-2.2299 -4.8085 0.4943 Cu
-3.2539 -6.9492 3.7152 Cu


Zr2CuAg | Alexandria | GGA-PBE | optimized geometry; formation energy from the elements = -0.1 eV per formula unit; final energy = -6.031 eV per atom
1.0
4.8587 0.0000 0.0000
0.0000 2.9707 -0.2661
0.0000 0.4672 5.1892
Zr Ag Cu
2 1 1
Cartesian
2.4294 0.5251 1.6590 Zr
0.0000 0.8000 4.7434 Zr
0.0000 2.0648 2.1438 Ag
2.4294 2.2340 4.0276 Cu


ZrCuAg2 | Alexandria | GGA-PBE | optimized geometry; formation energy from the elements = 0.2 eV per formula unit; final energy = -4.534 eV per atom
1.0
-0.1640 -0.5813 4.9286
4.7118 0.1577 1.5586
-2.4861 3.1710 -2.9016
Zr Ag Cu
1 2 1
Cartesian
-0.1881 1.1890 2.6353 Zr
0.0000 0.0000 0.0000 Ag
2.2739 -0.2118 3.2436 Ag
2.2498 1.5585 0.9503 Cu


Zr2CuAg | Alexandria | GGA-PBE | optimized geometry; formation energy from the elements = 0.0 eV per formula unit; final energy = -6.016 eV per atom
1.0
-4.0972 3.0810 -0.1179
-2.8086 1.7123 -3.9336
-3.7103 -2.0168 -0.5296
Zr Ag Cu
2 1 1
Cartesian
-6.9045 4.7906 -4.0501 Zr
-5.3094 1.3910 -2.2920 Zr
-7.9621 2.0824 -3.4359 Ag
-2.6540 0.6941 -1.1453 Cu